Entry 1:
This record from the Alexandria database describes a PBEsol-optimized structure of YAs2C. The functional is SCAN.

Computed properties:
Total magnetization (μB/f.u.): 0.00
Electronic total energy (eV per atom): -19.497
Volume (A^3/atom): 18.10
Energy of formation (eV per atom): 0.084

a = 6.3253 Å, b = 6.3253 Å, c = 7.2376 Å
α = 90.00°, β = 90.00°, γ = 90.00°
With the nearest neighbours (Å) after each atom.
Space group I-42d (No. 122)
Asymmetric unit:
1 Y 0.0000 0.0000 0.0000 [4 per cell]  4 As 2.89
2 As 0.1457 0.2500 0.6250 [8 per cell]  2 C 2.04
3 C 0.0000 0.0000 0.5000 [4 per cell]  4 As 2.04

***

Entry 2:
This record from the Alexandria database describes a PBEsol-optimized structure of YAsC3. The functional is SCAN.

Computed properties:
Total magnetization (μB/f.u.): 0.00
Electronic total energy (eV per atom): -12.718
Volume (A^3/atom): 16.86
Energy of formation (eV per atom): 2.949

a = 4.3844 Å, b = 4.3844 Å, c = 4.3844 Å
α = 90.00°, β = 90.00°, γ = 90.00°
With the nearest neighbours (Å) after each atom.
Space group Pm-3m (No. 221)
Asymmetric unit:
1 Y 0.0000 0.0000 0.0000 [1 per cell]  6 C 2.19
2 As 0.5000 0.5000 0.5000 [1 per cell]  12 C 3.10
3 C 0.0000 0.0000 0.5000 [3 per cell]  2 Y 2.19

***

Entry 3:
This record from the Alexandria database describes a PBEsol-optimized structure of Ca2As. The functional is SCAN.

Computed properties:
Total magnetization (μB/f.u.): 0.00
Electronic total energy (eV per atom): -14.239
Volume (A^3/atom): 26.42
Energy of formation (eV per atom): -1.066

a = 4.4929 Å, b = 4.4929 Å, c = 15.7067 Å
α = 90.00°, β = 90.00°, γ = 90.00°
With the nearest neighbours (Å) after each atom.
Space group I4/mmm (No. 139)
Asymmetric unit:
1 Ca 0.0000 0.0000 0.1794 [4 per cell]  5 As 2.93-3.26
2 Ca 0.0000 0.5000 0.0000 [4 per cell]  4 As 3.08, 4 Ca 3.18
3 As 0.0000 0.0000 0.3658 [4 per cell]  9 Ca 2.93-3.26

***

Entry 4:
This record from the Alexandria database describes a PBEsol-optimized structure of Ca5As3. The functional is SCAN.

Computed properties:
Total magnetization (μB/f.u.): 0.96
Electronic total energy (eV per atom): -14.865
Volume (A^3/atom): 25.60
Energy of formation (eV per atom): -1.254

a = 8.4324 Å, b = 8.4324 Å, c = 6.6521 Å
α = 90.00°, β = 90.00°, γ = 120.00°
With the nearest neighbours (Å) after each atom.
Space group P6_3/mcm (No. 193)
Asymmetric unit:
1 Ca 0.0000 0.2542 0.2500 [6 per cell]  3 As 2.89-3.00
2 Ca 0.3333 0.6667 0.0000 [4 per cell]  6 As 3.09, 2 Ca 3.33
3 As 0.0000 0.3898 0.7500 [6 per cell]  7 Ca 2.89-3.09

***

Entry 5:
This record from the Alexandria database describes a PBEsol-optimized structure of Ca3As. The functional is SCAN.

Computed properties:
Total magnetization (μB/f.u.): 0.00
Electronic total energy (eV per atom): -12.852
Volume (A^3/atom): 30.11
Energy of formation (eV per atom): -0.557

a = 4.2193 Å, b = 4.1926 Å, c = 6.8876 Å
α = 90.00°, β = 98.70°, γ = 90.00°
With the nearest neighbours (Å) after each atom.
Space group P2/m (No. 10)
Asymmetric unit:
1 Ca 0.0000 0.0000 0.0000 [1 per cell]  2 As 3.44, 8 Ca 3.51-3.64
2 Ca 0.4029 0.5000 0.7086 [2 per cell]  2 As 2.93, 1 Ca 3.11
3 As 0.0000 0.0000 0.5000 [1 per cell]  4 Ca 2.93

***

Entry 6:
This record from the Alexandria database describes a PBEsol-optimized structure of CaAs3. The functional is SCAN.

Computed properties:
Total magnetization (μB/f.u.): 0.00
Electronic total energy (eV per atom): -17.824
Volume (A^3/atom): 20.66
Energy of formation (eV per atom): -0.265

a = 3.6156 Å, b = 4.0249 Å, c = 5.6789 Å
α = 90.00°, β = 90.00°, γ = 90.00°
With the nearest neighbours (Å) after each atom.
Space group Pmmm (No. 47)
Asymmetric unit:
1 Ca 0.0000 0.0000 0.0000 [1 per cell]  10 As 2.84-3.14
2 As 0.0000 0.0000 0.5000 [1 per cell]  2 Ca 2.84, 8 As 2.98
3 As 0.5000 0.5000 0.2808 [2 per cell]  1 As 2.49

***

Entry 7:
This record from the Alexandria database describes a PBEsol-optimized structure of CaAs. The functional is SCAN.

Computed properties:
Total magnetization (μB/f.u.): 0.00
Electronic total energy (eV per atom): -15.903
Volume (A^3/atom): 23.49
Energy of formation (eV per atom): -0.976

a = 11.3690 Å, b = 3.3405 Å, c = 4.9715 Å
α = 90.00°, β = 95.49°, γ = 90.00°
With the nearest neighbours (Å) after each atom.
Space group C2/m (No. 12)
Asymmetric unit:
1 Ca 0.1217 0.0000 0.2437 [4 per cell]  7 As 2.97-3.19
2 As 0.1164 0.5000 0.7390 [4 per cell]  7 Ca 2.97-3.19

***

Entry 8:
This record from the Alexandria database describes a PBEsol-optimized structure of CaAs. The functional is SCAN.

Computed properties:
Total magnetization (μB/f.u.): 0.00
Electronic total energy (eV per atom): -15.846
Volume (A^3/atom): 22.89
Energy of formation (eV per atom): -0.919

a = 4.1548 Å, b = 4.1548 Å, c = 10.6057 Å
α = 90.00°, β = 90.00°, γ = 90.00°
With the nearest neighbours (Å) after each atom.
Space group I4_1/amd (No. 141, origin choice 2)
Asymmetric unit:
1 Ca 0.0000 0.2500 0.3750 [4 per cell]  4 As 2.94
2 As 0.0000 0.2500 0.8750 [4 per cell]  4 Ca 2.94